# TaTeRu2

Crystalline TaTeRu2 at its relaxed geometry (PBE, Alexandria).

a b c (Å): 5.151 5.258 3.011
angles (deg): 76.36 84.08 117.41
Positions (direct):
Ru  0.500  0.000  0.500
Ta  0.000  0.500  0.500
Te  0.500  0.500  0.000
Ru  0.000  0.000  0.000

- space group = No. 12
- formation energy from raw total energies (eV per atom) = 0.34
- uncorrected energy (eV/atom) = -8.04
- DOS at the Fermi energy (states/eV/cell) = 3.8